# 1
## Pr2Si4Ni5 (PBE)

Data for a relaxed structure of Pr2Si4Ni5.

Cell lengths 8.1046, 7.0787, 5.5537 Å; angles 78.80, 58.96, 42.24 degrees
With the nearest neighbours (Å) after each atom.
Fractional coordinates of all 11 atoms:
Pr: 0.1396 0.1396 0.8604  8 Si 3.13-3.36, 10 Ni 3.13-3.32
Pr: 0.8604 0.8604 0.1396  8 Si 3.13-3.36, 10 Ni 3.13-3.32
Si: 0.2168 0.5200 0.4800  5 Ni 2.25-2.40
Si: 0.4800 0.7832 0.2168  5 Ni 2.25-2.40
Si: 0.5200 0.2168 0.7832  5 Ni 2.25-2.40
Si: 0.7832 0.4800 0.5200  5 Ni 2.25-2.40
Ni: 0.0000 0.0000 0.5000  4 Si 2.40
Ni: 0.2500 0.2500 0.2500  4 Si 2.28
Ni: 0.5000 0.5000 0.0000  4 Si 2.40
Ni: 0.5000 0.5000 0.5000  4 Si 2.25
Ni: 0.7500 0.7500 0.7500  4 Si 2.28

## Properties
The total magnetic moment comes out at 0.00 μB per formula unit. As for the space-group type: Fmmm. As for the raw formation energy: -0.660 eV per atom.

***

# 2
## Tb2ScCuS5 (PBE)

Data for a relaxed structure of Tb2ScCuS5.

Cell lengths 8.3659, 8.3659, 11.3399 Å; angles 90.00, 90.00, 153.85 degrees
With the nearest neighbours (Å) after each atom.
Fractional coordinates of all 18 atoms:
Tb: 0.1090 0.8910 0.5000  8 S 2.82-2.97
Tb: 0.1258 0.8742 0.1217  8 S 2.78-3.07
Tb: 0.8742 0.1258 0.6217  8 S 2.78-3.07
Tb: 0.8910 0.1090 0.0000  8 S 2.82-2.97
Sc: 0.1940 0.8060 0.8252  6 S 2.47-2.62
Sc: 0.8060 0.1940 0.3252  6 S 2.47-2.62
Cu: 0.4377 0.5623 0.2676  4 S 2.25-2.39
Cu: 0.5623 0.4377 0.7676  4 S 2.25-2.39
S: 0.0466 0.9534 0.8765  2 Cu 2.27, 1 Sc 2.47
S: 0.2866 0.7134 0.4820  2 Sc 2.62, 3 Tb 2.85-2.90
S: 0.3097 0.6903 0.1652  1 Cu 2.39, 2 Sc 2.62
S: 0.3547 0.6453 0.8155  1 Sc 2.62, 4 Tb 2.88-2.92
S: 0.4975 0.5025 0.5921  1 Cu 2.25
S: 0.5025 0.4975 0.0921  1 Cu 2.25
S: 0.6453 0.3547 0.3155  1 Sc 2.62, 4 Tb 2.88-2.92
S: 0.6903 0.3097 0.6652  1 Cu 2.39, 2 Sc 2.62
S: 0.7134 0.2866 0.9820  2 Sc 2.62, 3 Tb 2.85-2.90
S: 0.9534 0.0466 0.3765  2 Cu 2.27, 1 Sc 2.47

## Properties
The total magnetic moment comes out at 0.00 μB per formula unit. As for the space-group type: Cmc2_1. As for the raw formation energy: -1.708 eV per atom.

***

# 3
## CaB3S (PBE)

Data for a relaxed structure of CaB3S.

Cell lengths 4.8534, 4.8534, 4.8534 Å; angles 90.00, 90.00, 90.00 degrees
With the nearest neighbours (Å) after each atom.
Fractional coordinates of all 5 atoms:
Ca: 0.0000 0.0000 0.0000  6 B 2.43
B: 0.0000 0.0000 0.5000  2 Ca 2.43
B: 0.0000 0.5000 0.0000  2 Ca 2.43
B: 0.5000 0.0000 0.0000  2 Ca 2.43
S: 0.5000 0.5000 0.5000  12 B 3.43

## Properties
The total magnetic moment comes out at 0.76 μB per formula unit. Its energy above the most stable polymorph in this dataset is 1.5092 eV per atom. As for the space-group type: Pm-3m. As for the raw formation energy: 2.815 eV per atom.

***

# 4
## PmDy2MnN4 (PBE)

Data for a relaxed structure of PmDy2MnN4.

Cell lengths 5.9761, 5.9761, 11.5071 Å; angles 90.00, 90.00, 146.98 degrees
With the nearest neighbours (Å) after each atom.
Fractional coordinates of all 16 atoms:
Pm: 0.1099 0.8901 0.7500  6 N 2.60-2.76
Pm: 0.8901 0.1099 0.2500  6 N 2.60-2.76
Dy: 0.3681 0.6319 0.5437  6 N 2.33-2.50
Dy: 0.3681 0.6319 0.9563  6 N 2.33-2.50
Dy: 0.6319 0.3681 0.0437  6 N 2.33-2.50
Dy: 0.6319 0.3681 0.4563  6 N 2.33-2.50
Mn: 0.1575 0.8425 0.2500  4 N 1.85-1.91
Mn: 0.8425 0.1575 0.7500  4 N 1.85-1.91
N: 0.0000 0.0000 0.0000  4 Dy 2.33
N: 0.0000 0.0000 0.5000  4 Dy 2.33
N: 0.2663 0.7337 0.1311  1 Mn 1.85
N: 0.2663 0.7337 0.3689  1 Mn 1.85
N: 0.4197 0.5803 0.7500  2 Mn 1.91
N: 0.5803 0.4197 0.2500  2 Mn 1.91
N: 0.7337 0.2663 0.6311  1 Mn 1.85
N: 0.7337 0.2663 0.8689  1 Mn 1.85

## Properties
The total magnetic moment comes out at 0.00 μB per formula unit. As for the space-group type: Cmcm. As for the raw formation energy: -1.185 eV per atom.

***

# 5
## CaPdC3 (PBE)

Data for a relaxed structure of CaPdC3.

Cell lengths 4.3133, 4.3133, 4.3133 Å; angles 90.00, 90.00, 90.00 degrees
With the nearest neighbours (Å) after each atom.
Fractional coordinates of all 5 atoms:
Ca: 0.0000 0.0000 0.0000  6 C 2.16
Pd: 0.5000 0.5000 0.5000  12 C 3.05
C: 0.0000 0.0000 0.5000  2 Ca 2.16
C: 0.0000 0.5000 0.0000  2 Ca 2.16
C: 0.5000 0.0000 0.0000  2 Ca 2.16

## Properties
The total magnetic moment comes out at 0.00 μB per formula unit. Its energy above the most stable polymorph in this dataset is 1.4531 eV per atom. As for the space-group type: Pm-3m. The formation energy comes out at 17.1 eV/f.u.

***

# 6
## CrCo2Mo (PBE)

Data for a relaxed structure of CrCo2Mo.

Cell lengths 2.5776, 3.6171, 5.1486 Å; angles 90.00, 90.00, 90.00 degrees
With the nearest neighbours (Å) after each atom.
Fractional coordinates of all 4 atoms:
Cr: 0.0000 0.0000 0.0000  8 Co 2.53, 2 Mo 2.57, 2 Cr 2.58
Co: 0.5000 0.5000 0.2371  4 Co 2.44-2.71, 4 Cr 2.53, 4 Mo 2.60
Co: 0.5000 0.5000 0.7629  4 Co 2.44-2.71, 4 Cr 2.53, 4 Mo 2.60
Mo: 0.0000 0.0000 0.5000  2 Cr 2.57, 2 Mo 2.58, 8 Co 2.60

## Properties
The total magnetic moment comes out at 0.12 μB per formula unit. Its energy above the most stable polymorph in this dataset is 0.0250 eV per atom. As for the space-group type: Pmmm. The formation energy comes out at 0.2 eV/f.u.

***

# 7
## AlTcRu (PBE)

Data for a relaxed structure of AlTcRu.

Cell lengths 5.1135, 4.2646, 7.8108 Å; angles 90.00, 90.00, 90.00 degrees
With the nearest neighbours (Å) after each atom.
Fractional coordinates of all 12 atoms:
Al: 0.1798 0.2500 0.0877  5 Ru 2.55-2.64, 3 Tc 2.71-2.72
Al: 0.3202 0.7500 0.5877  5 Ru 2.55-2.64, 3 Tc 2.71-2.72
Al: 0.6798 0.2500 0.4123  5 Ru 2.55-2.64, 3 Tc 2.71-2.72
Al: 0.8202 0.7500 0.9123  5 Ru 2.55-2.64, 3 Tc 2.71-2.72
Tc: 0.0424 0.2500 0.7521  2 Tc 2.56, 3 Ru 2.64-2.78, 3 Al 2.71-2.72
Tc: 0.4576 0.7500 0.2521  2 Tc 2.56, 3 Ru 2.64-2.78, 3 Al 2.71-2.72
Tc: 0.5424 0.2500 0.7479  2 Tc 2.56, 3 Ru 2.64-2.78, 3 Al 2.71-2.72
Tc: 0.9576 0.7500 0.2479  2 Tc 2.56, 3 Ru 2.64-2.78, 3 Al 2.71-2.72
Ru: 0.1773 0.2500 0.4261  5 Al 2.55-2.64, 3 Tc 2.64-2.78
Ru: 0.3227 0.7500 0.9261  5 Al 2.55-2.64, 3 Tc 2.64-2.78
Ru: 0.6773 0.2500 0.0739  5 Al 2.55-2.64, 3 Tc 2.64-2.78
Ru: 0.8227 0.7500 0.5739  5 Al 2.55-2.64, 3 Tc 2.64-2.78

## Properties
The total magnetic moment comes out at 0.00 μB per formula unit. Its energy above the most stable polymorph in this dataset is 0.1725 eV per atom. As for the space-group type: Pnma. The formation energy comes out at -0.7 eV/f.u.

***

# 8
## Ac6Hg5 (PBE)

Data for a relaxed structure of Ac6Hg5.

Cell lengths 9.8197, 9.8197, 9.8197 Å; angles 146.37, 131.46, 60.35 degrees
With the nearest neighbours (Å) after each atom.
Fractional coordinates of all 11 atoms:
Ac: 0.0829 0.3348 0.7481  7 Hg 3.46-3.52
Ac: 0.2483 0.0000 0.2483  6 Hg 3.45-3.49
Ac: 0.4133 0.6652 0.7481  7 Hg 3.46-3.52
Ac: 0.5867 0.3348 0.2519  7 Hg 3.46-3.52
Ac: 0.7517 0.0000 0.7517  6 Hg 3.45-3.49
Ac: 0.9171 0.6652 0.2519  7 Hg 3.46-3.52
Hg: 0.1654 0.1654 0.0000  8 Ac 3.45-3.52
Hg: 0.3333 0.8333 0.5000  8 Ac 3.48-3.49
Hg: 0.5000 0.5000 0.0000  8 Ac 3.46-3.49
Hg: 0.6667 0.1667 0.5000  8 Ac 3.48-3.49
Hg: 0.8346 0.8346 0.0000  8 Ac 3.45-3.52

## Properties
The total magnetic moment comes out at 1.01 μB per formula unit. As for the space-group type: Immm. The formation energy comes out at -4.2 eV/f.u.

***

# 9
## Pm3ErAu3 (PBE)

Data for a relaxed structure of Pm3ErAu3.

Cell lengths 7.2847, 7.2847, 7.3088 Å; angles 91.01, 91.01, 96.23 degrees
With the nearest neighbours (Å) after each atom.
Fractional coordinates of all 14 atoms:
Pm: 0.1787 0.8213 0.0000  6 Au 2.96-3.10
Pm: 0.2597 0.7403 0.5000  6 Au 3.14-3.21
Pm: 0.3439 0.3439 0.1174  3 Au 3.12-3.14
Pm: 0.6561 0.6561 0.8826  3 Au 3.12-3.14
Pm: 0.7403 0.2597 0.5000  6 Au 3.14-3.21
Pm: 0.8213 0.1787 0.0000  6 Au 2.96-3.10
Er: 0.2545 0.2545 0.6159  4 Au 2.82-3.14
Er: 0.7455 0.7455 0.3841  4 Au 2.82-3.14
Au: 0.0236 0.4960 0.7778  1 Er 2.82, 4 Pm 2.96-3.14
Au: 0.0627 0.0627 0.3127  2 Er 2.86-3.14, 1 Au 3.03, 5 Pm 3.05-3.20
Au: 0.4960 0.0236 0.7778  1 Er 2.82, 4 Pm 2.96-3.14
Au: 0.5040 0.9764 0.2222  1 Er 2.82, 4 Pm 2.96-3.14
Au: 0.9373 0.9373 0.6873  2 Er 2.86-3.14, 1 Au 3.03, 5 Pm 3.05-3.20
Au: 0.9764 0.5040 0.2222  1 Er 2.82, 4 Pm 2.96-3.14

## Properties
The total magnetic moment comes out at 0.00 μB per formula unit. As for the space-group type: C2/m. The formation energy comes out at -4.3 eV/f.u.

***

# 10
## K3RbH8Pd2 (PBE)

Data for a relaxed structure of K3RbH8Pd2.

Cell lengths 5.4407, 5.4407, 10.8217 Å; angles 90.00, 90.00, 120.00 degrees
With the nearest neighbours (Å) after each atom.
Fractional coordinates of all 14 atoms:
K: 0.0000 0.0000 0.0000  6 H 3.18
K: 0.3333 0.6667 0.7973  7 H 2.71-2.93
K: 0.6667 0.3333 0.2027  7 H 2.71-2.93
Rb: 0.0000 0.0000 0.5000  6 H 2.82
H: 0.1926 0.3851 0.3005  1 Pd 1.65
H: 0.1926 0.8074 0.3005  1 Pd 1.65
H: 0.3333 0.6667 0.0473  1 Pd 1.75
H: 0.3851 0.1926 0.6995  1 Pd 1.65
H: 0.6149 0.8074 0.3005  1 Pd 1.65
H: 0.6667 0.3333 0.9527  1 Pd 1.75
H: 0.8074 0.1926 0.6995  1 Pd 1.65
H: 0.8074 0.6149 0.6995  1 Pd 1.65
Pd: 0.3333 0.6667 0.2094  4 H 1.65-1.75
Pd: 0.6667 0.3333 0.7906  4 H 1.65-1.75

## Properties
The total magnetic moment comes out at 0.00 μB per formula unit. As for the space-group type: P-3m1.

***

# 11
## Ge3P2S (PBE)

Data for a relaxed structure of Ge3P2S.

Cell lengths 3.6208, 10.6115, 6.9671 Å; angles 90.00, 90.00, 90.00 degrees
With the nearest neighbours (Å) after each atom.
Fractional coordinates of all 12 atoms:
Ge: 0.0000 0.0000 0.0000  2 S 2.31, 2 P 2.36
Ge: 0.0000 0.3616 0.1264  3 P 2.44-2.63
Ge: 0.0000 0.6384 0.1264  3 P 2.44-2.63
Ge: 0.5000 0.1384 0.6264  3 P 2.44-2.63
Ge: 0.5000 0.5000 0.5000  2 S 2.31, 2 P 2.36
Ge: 0.5000 0.8616 0.6264  3 P 2.44-2.63
P: 0.0000 0.1975 0.8431  4 Ge 2.36-2.63
P: 0.0000 0.8025 0.8431  4 Ge 2.36-2.63
P: 0.5000 0.3025 0.3431  4 Ge 2.36-2.63
P: 0.5000 0.6975 0.3431  4 Ge 2.36-2.63
S: 0.0000 0.5000 0.7065  2 Ge 2.31
S: 0.5000 0.0000 0.2065  2 Ge 2.31

## Properties
The total magnetic moment comes out at 0.00 μB per formula unit. As for the space-group type: Imm2. As for the raw formation energy: 0.033 eV per atom.

***

# 12
## FeTcBiW2 (PBE)

Data for a relaxed structure of FeTcBiW2.

Cell lengths 4.5607, 4.5607, 4.5280 Å; angles 90.00, 90.00, 90.00 degrees
With the nearest neighbours (Å) after each atom.
Fractional coordinates of all 5 atoms:
Fe: 0.0000 0.0000 0.0000  2 Tc 2.26, 4 W 2.28
Tc: 0.0000 0.0000 0.5000  2 Fe 2.26
Bi: 0.5000 0.5000 0.5000  8 W 3.21, 4 Tc 3.22
W: 0.0000 0.5000 0.0000  2 Fe 2.28
W: 0.5000 0.0000 0.0000  2 Fe 2.28

## Properties
The total magnetic moment comes out at 0.00 μB per formula unit. As for the space-group type: P4/mmm. The formation energy comes out at 6.6 eV/f.u.

***

# 13
## LaMn2Au (PBE)

Data for a relaxed structure of LaMn2Au.

Cell lengths 3.2565, 3.2565, 28.1854 Å; angles 90.00, 90.00, 120.00 degrees
With the nearest neighbours (Å) after each atom.
Fractional coordinates of all 12 atoms:
La: 0.0000 0.0000 0.0000  6 La 3.26, 6 Mn 3.29
La: 0.3333 0.6667 0.6667  6 La 3.26, 6 Mn 3.29
La: 0.6667 0.3333 0.3333  6 La 3.26, 6 Mn 3.29
Mn: 0.0000 0.0000 0.2375  3 Au 2.74
Mn: 0.0000 0.0000 0.7625  3 Au 2.74
Mn: 0.3333 0.6667 0.4292  3 Au 2.74
Mn: 0.3333 0.6667 0.9042  3 Au 2.74
Mn: 0.6667 0.3333 0.0958  3 Au 2.74
Mn: 0.6667 0.3333 0.5708  3 Au 2.74
Au: 0.0000 0.0000 0.5000  6 Mn 2.74
Au: 0.3333 0.6667 0.1667  6 Mn 2.74
Au: 0.6667 0.3333 0.8333  6 Mn 2.74

## Properties
The total magnetic moment comes out at 8.13 μB per formula unit. As for the space-group type: R-3m. The formation energy comes out at 1.7 eV/f.u.

***

# 14
## KTi3Te6 (PBE)

Data for a relaxed structure of KTi3Te6.

Cell lengths 12.4460, 3.8360, 12.5093 Å; angles 90.00, 106.67, 90.00 degrees
With the nearest neighbours (Å) after each atom.
Fractional coordinates of all 20 atoms:
K: 0.1130 0.2500 0.3813  8 Te 3.38-3.72
K: 0.8870 0.7500 0.6187  8 Te 3.38-3.72
Ti: 0.1497 0.2500 0.0403  6 Te 2.73-2.83
Ti: 0.3021 0.7500 0.7301  6 Te 2.74-2.92
Ti: 0.4751 0.7500 0.3533  6 Te 2.76-2.92
Ti: 0.5249 0.2500 0.6467  6 Te 2.76-2.92
Ti: 0.6979 0.2500 0.2699  6 Te 2.74-2.92
Ti: 0.8503 0.7500 0.9597  6 Te 2.73-2.83
Te: 0.0448 0.7500 0.1386  3 Ti 2.79-2.80
Te: 0.1408 0.2500 0.6582  2 Ti 2.74
Te: 0.2441 0.7500 0.9401  3 Ti 2.73-2.92
Te: 0.3253 0.2500 0.2422  3 Ti 2.76-2.83
Te: 0.3674 0.7500 0.5322  4 Ti 2.82-2.92
Te: 0.4570 0.2500 0.8390  3 Ti 2.77-2.78
Te: 0.5430 0.7500 0.1610  3 Ti 2.77-2.78
Te: 0.6326 0.2500 0.4678  4 Ti 2.82-2.92
Te: 0.6747 0.7500 0.7578  3 Ti 2.76-2.83
Te: 0.7559 0.2500 0.0599  3 Ti 2.73-2.92
Te: 0.8592 0.7500 0.3418  2 Ti 2.74
Te: 0.9552 0.2500 0.8614  3 Ti 2.79-2.80

## Properties
The total magnetic moment comes out at 0.00 μB per formula unit. As for the space-group type: P2_1/m. As for the raw formation energy: -0.714 eV per atom.

***

# 15
## Cs2AlBiF6 (PBE)

Data for a relaxed structure of Cs2AlBiF6.

Cell lengths 7.2040, 7.2040, 7.2040 Å; angles 130.89, 130.89, 71.99 degrees
With the nearest neighbours (Å) after each atom.
Fractional coordinates of all 10 atoms:
Cs: 0.2500 0.7500 0.5000  4 F 3.19
Cs: 0.7500 0.2500 0.5000  4 F 3.19
Al: 0.0000 0.0000 0.0000  6 F 1.80-1.86
Bi: 0.5000 0.5000 0.0000  4 F 2.38
F: 0.1547 0.1547 0.0000  1 Al 1.80
F: 0.2193 0.2193 0.4387  1 Al 1.86
F: 0.2193 0.7807 0.0000  1 Al 1.86
F: 0.7807 0.2193 0.0000  1 Al 1.86
F: 0.7807 0.7807 0.5613  1 Al 1.86
F: 0.8453 0.8453 0.0000  1 Al 1.80

## Properties
The total magnetic moment comes out at 0.00 μB per formula unit. As for the space-group type: I4/mmm. As for the raw formation energy: -2.748 eV per atom.

***

# 16
## Ti2AgPd9 (PBE)

Data for a relaxed structure of Ti2AgPd9.

Cell lengths 3.9542, 3.9542, 11.8431 Å; angles 90.00, 90.00, 90.00 degrees
With the nearest neighbours (Å) after each atom.
Fractional coordinates of all 12 atoms:
Ti: 0.0000 0.0000 0.1705  12 Pd 2.68-2.83
Ti: 0.0000 0.0000 0.8295  12 Pd 2.68-2.83
Ag: 0.0000 0.0000 0.5000  12 Pd 2.80-2.87
Pd: 0.0000 0.5000 0.0000  8 Pd 2.75-2.80, 4 Ti 2.83
Pd: 0.0000 0.5000 0.3238  2 Ti 2.68, 8 Pd 2.75-2.87, 2 Ag 2.87
Pd: 0.0000 0.5000 0.6762  2 Ti 2.68, 8 Pd 2.75-2.87, 2 Ag 2.87
Pd: 0.5000 0.0000 0.0000  8 Pd 2.75-2.80, 4 Ti 2.83
Pd: 0.5000 0.0000 0.3238  2 Ti 2.68, 8 Pd 2.75-2.87, 2 Ag 2.87
Pd: 0.5000 0.0000 0.6762  2 Ti 2.68, 8 Pd 2.75-2.87, 2 Ag 2.87
Pd: 0.5000 0.5000 0.1618  8 Pd 2.75, 4 Ti 2.80
Pd: 0.5000 0.5000 0.5000  4 Ag 2.80, 8 Pd 2.87
Pd: 0.5000 0.5000 0.8382  8 Pd 2.75, 4 Ti 2.80

## Properties
The total magnetic moment comes out at 0.00 μB per formula unit. As for the space-group type: P4/mmm. The formation energy comes out at -5.4 eV/f.u.

***

What are the E_tot values for these records? In order: -6.129; -6.188; -2.418; -8.238; -3.560; -8.605; -8.020; -2.764; -4.706; -2.915; -4.767; -8.412; -6.210; -5.077; -4.803; -5.902 eV per atom.